Record 1
Compound: PrYBiO2
Source: OQMD via LeMat-Bulk
Functional: PBE-GGA
Structure: optimized geometry

Cell: 3.9508 3.9508 13.7123 Å, 90.00 90.00 90.00°
Closest atoms and distances in Å follow each position.
Element x y z (fractional)
Pr (0.0000, 0.0000, 0.0000)  4 O 2.34
Pr (0.5000, 0.5000, 0.5000)  4 O 2.34
Y (0.0000, 0.0000, 0.6689)  4 O 2.24
Y (0.5000, 0.5000, 0.1689)  4 O 2.24
Bi (0.0000, 0.0000, 0.3325)  4 Y 3.58, 4 Pr 3.62, 4 O 3.85, 4 Bi 3.95
Bi (0.5000, 0.5000, 0.8325)  4 Y 3.58, 4 Pr 3.62, 4 O 3.85, 4 Bi 3.95
O (0.0000, 0.5000, 0.0914)  2 Y 2.24, 2 Pr 2.34
O (0.0000, 0.5000, 0.5914)  2 Y 2.24, 2 Pr 2.34
O (0.5000, 0.0000, 0.0914)  2 Y 2.24, 2 Pr 2.34
O (0.5000, 0.0000, 0.5914)  2 Y 2.24, 2 Pr 2.34

Summary:
**DFT total energy**: -7.64 eV/atom
**Space group**: No. 107

***

Record 2
Compound: RbTaP2O8
Source: OQMD via LeMat-Bulk
Functional: PBE-GGA
Structure: optimized geometry

Cell: 4.8759 4.8759 8.5881 Å, 90.00 90.00 120.00°
Closest atoms and distances in Å follow each position.
Element x y z (fractional)
Rb (0.0000, 0.0000, 0.0000)  6 O 2.99
Ta (0.0000, 0.0000, 0.5000)  6 O 1.97
P (0.3333, 0.6667, 0.7095)  4 O 1.49-1.56
P (0.6667, 0.3333, 0.2905)  4 O 1.49-1.56
O (0.0651, 0.7133, 0.6369)  1 P 1.56
O (0.2867, 0.3518, 0.6369)  1 P 1.56
O (0.3333, 0.6667, 0.8825)  1 P 1.49
O (0.3518, 0.0651, 0.3631)  1 P 1.56
O (0.6482, 0.9349, 0.6369)  1 P 1.56
O (0.6667, 0.3333, 0.1175)  1 P 1.49
O (0.7133, 0.6482, 0.3631)  1 P 1.56
O (0.9349, 0.2867, 0.3631)  1 P 1.56

Summary:
**DFT total energy**: -7.73 eV/atom
**Space group**: No. 147

***

Record 3
Compound: LaNdP2Os2S2
Source: OQMD via LeMat-Bulk
Functional: PBE-GGA
Structure: optimized geometry

Cell: 4.1917 4.1917 9.1067 Å, 90.00 90.00 90.00°
Closest atoms and distances in Å follow each position.
Element x y z (fractional)
La (0.0000, 0.0000, 0.0000)  4 S 2.82
Nd (0.5000, 0.5000, 0.5937)  4 S 2.77
P (0.0000, 0.0000, 0.4235)  4 Os 2.38
P (0.5000, 0.5000, 0.1731)  4 Os 2.39
Os (0.0000, 0.5000, 0.2993)  4 P 2.38-2.39
Os (0.5000, 0.0000, 0.2993)  4 P 2.38-2.39
S (0.0000, 0.5000, 0.7926)  2 Nd 2.77, 2 La 2.82, 4 S 2.96
S (0.5000, 0.0000, 0.7926)  2 Nd 2.77, 2 La 2.82, 4 S 2.96

Summary:
**DFT total energy**: -7.43 eV/atom
**Space group**: No. 99

***

Record 4
Compound: HoPuTa
Source: OQMD via LeMat-Bulk
Functional: PBE-GGA
Structure: optimized geometry

Cell: 6.7963 6.7963 6.7963 Å, 90.00 90.00 90.00°
Closest atoms and distances in Å follow each position.
Element x y z (fractional)
Ho (0.0000, 0.0000, 0.0000)  4 Ta 2.94, 4 Pu 2.94
Ho (0.0000, 0.5000, 0.5000)  4 Ta 2.94, 4 Pu 2.94
Ho (0.5000, 0.0000, 0.5000)  4 Ta 2.94, 4 Pu 2.94
Ho (0.5000, 0.5000, 0.0000)  4 Ta 2.94, 4 Pu 2.94
Pu (0.2500, 0.2500, 0.7500)  4 Ho 2.94
Pu (0.2500, 0.7500, 0.2500)  4 Ho 2.94
Pu (0.7500, 0.2500, 0.2500)  4 Ho 2.94
Pu (0.7500, 0.7500, 0.7500)  4 Ho 2.94
Ta (0.2500, 0.2500, 0.2500)  4 Ho 2.94
Ta (0.2500, 0.7500, 0.7500)  4 Ho 2.94
Ta (0.7500, 0.2500, 0.7500)  4 Ho 2.94
Ta (0.7500, 0.7500, 0.2500)  4 Ho 2.94

Summary:
**Energy of formation**: 121.75 kJ/mol of atoms
**DFT total energy**: -8.92 eV/atom
**Space group**: No. 216

***

Record 5
Compound: MgZnFePd
Source: OQMD via LeMat-Bulk
Functional: PBE-GGA
Structure: optimized geometry

Cell: 6.2008 6.2008 6.2008 Å, 90.00 90.00 90.00°
Closest atoms and distances in Å follow each position.
Element x y z (fractional)
Mg (0.0000, 0.0000, 0.0000)  4 Pd 2.69, 4 Zn 2.69
Mg (0.0000, 0.5000, 0.5000)  4 Pd 2.69, 4 Zn 2.69
Mg (0.5000, 0.0000, 0.5000)  4 Pd 2.69, 4 Zn 2.69
Mg (0.5000, 0.5000, 0.0000)  4 Pd 2.69, 4 Zn 2.69
Zn (0.2500, 0.2500, 0.2500)  4 Fe 2.69, 4 Mg 2.69
Zn (0.2500, 0.7500, 0.7500)  4 Fe 2.69, 4 Mg 2.69
Zn (0.7500, 0.2500, 0.7500)  4 Fe 2.69, 4 Mg 2.69
Zn (0.7500, 0.7500, 0.2500)  4 Fe 2.69, 4 Mg 2.69
Fe (0.0000, 0.0000, 0.5000)  4 Zn 2.69, 4 Pd 2.69
Fe (0.0000, 0.5000, 0.0000)  4 Zn 2.69, 4 Pd 2.69
Fe (0.5000, 0.0000, 0.0000)  4 Zn 2.69, 4 Pd 2.69
Fe (0.5000, 0.5000, 0.5000)  4 Zn 2.69, 4 Pd 2.69
Pd (0.2500, 0.2500, 0.7500)  4 Fe 2.69, 4 Mg 2.69
Pd (0.2500, 0.7500, 0.2500)  4 Fe 2.69, 4 Mg 2.69
Pd (0.7500, 0.2500, 0.2500)  4 Fe 2.69, 4 Mg 2.69
Pd (0.7500, 0.7500, 0.7500)  4 Mg 2.69, 4 Fe 2.69

Summary:
**Excess energy over the best structure of this formula in the dataset**: 0.0 meV/atom
**DFT total energy**: -4.23 eV/atom
**Space group**: No. 216

***

Record 6
Compound: DyHfTlC
Source: OQMD via LeMat-Bulk
Functional: PBE-GGA
Structure: optimized geometry

Cell: 3.4499 3.4499 15.6563 Å, 90.00 90.00 120.00°
Closest atoms and distances in Å follow each position.
Element x y z (fractional)
Dy (0.3333, 0.6667, 0.0000)  3 C 2.51
Dy (0.6667, 0.3333, 0.5000)  3 C 2.51
Hf (0.3333, 0.6667, 0.6659)  3 C 2.26
Hf (0.6667, 0.3333, 0.1659)  3 C 2.26
Tl (0.3333, 0.6667, 0.3292)  3 Hf 3.24, 3 Dy 3.33, 6 Tl 3.45
Tl (0.6667, 0.3333, 0.8292)  3 Hf 3.24, 3 Dy 3.33, 6 Tl 3.45
C (0.0000, 0.0000, 0.0972)  3 Hf 2.26, 3 Dy 2.51
C (0.0000, 0.0000, 0.5972)  3 Hf 2.26, 3 Dy 2.51

Summary:
**Excess energy over the best structure of this formula in the dataset**: 2.3 meV/atom
**DFT total energy**: -7.02 eV/atom
**Space group**: No. 186

***

Record 7
Compound: PdBr4
Source: OQMD via LeMat-Bulk
Functional: PBE-GGA
Structure: optimized geometry

Cell: 6.1543 3.7058 6.3636 Å, 90.00 99.50 90.00°
Closest atoms and distances in Å follow each position.
Element x y z (fractional)
Pd (0.0000, 0.0000, 0.0000)  4 Br 2.49
Br (0.1805, 0.5000, 0.8326)  2 Pd 2.49
Br (0.3506, 0.0000, 0.3432)  1 Br 2.48
Br (0.6494, 0.0000, 0.6568)  1 Br 2.48
Br (0.8195, 0.5000, 0.1674)  2 Pd 2.49

Summary:
**DFT total energy**: -2.51 eV/atom
**Space group**: No. 10

***

Record 8
Compound: DyTmZn2Au4
Source: OQMD via LeMat-Bulk
Functional: PBE-GGA
Structure: optimized geometry

Cell: 4.8078 4.8078 6.8036 Å, 90.00 90.00 90.00°
Closest atoms and distances in Å follow each position.
Element x y z (fractional)
Dy (0.0000, 0.0000, 0.0000)  8 Au 2.96
Tm (0.5000, 0.5000, 0.5000)  8 Au 2.93
Zn (0.0000, 0.0000, 0.5000)  8 Au 2.93
Zn (0.5000, 0.5000, 0.0000)  8 Au 2.96
Au (0.0000, 0.5000, 0.2544)  2 Tm 2.93, 4 Zn 2.93-2.96, 2 Dy 2.96
Au (0.0000, 0.5000, 0.7456)  2 Tm 2.93, 4 Zn 2.93-2.96, 2 Dy 2.96
Au (0.5000, 0.0000, 0.2544)  2 Tm 2.93, 4 Zn 2.93-2.96, 2 Dy 2.96
Au (0.5000, 0.0000, 0.7456)  2 Tm 2.93, 4 Zn 2.93-2.96, 2 Dy 2.96

Summary:
**Energy of formation**: -62.27 kJ/mol of atoms
**DFT total energy**: -3.73 eV/atom
**Space group**: No. 123